No. 1
{
  "formula": "K3PtF",
  "functional": "PBE",
  "state": "relaxed",
  "e_form_raw_ev_per_atom": -1.07,
  "dft_energy_ev_per_atom": -3.3096,
  "e_above_lowest_polymorph_kj_per_mol_fu": 0,
  "lattice": [[-4.662, 0.146, 2.212], [1.767, -2.865, 3.913], [1.339, 4.292, 2.537]],
  "species": ["Pt", "F", "K", "K", "K"],
  "fractional_positions": [[0.500, 0.500, 0.500], [0.000, 0.000, 0.000], [0.000, 0.000, 0.500], [0.500, 0.000, 0.000], [0.000, 0.500, 0.000]]
}

=====

No. 2
{
  "formula": "LiPbCl5",
  "functional": "PBE",
  "state": "relaxed",
  "e_form_raw_ev_per_atom": -0.89,
  "dft_energy_ev_per_atom": -3.0152,
  "lattice": [[7.419, -0.758, -2.142], [-1.894, 7.219, -2.140], [0.112, 0.131, 8.837]],
  "species": ["Cl", "Cl", "Cl", "Cl", "Cl", "Cl", "Cl", "Cl", "Cl", "Cl", "Li", "Li", "Pb", "Pb"],
  "fractional_positions": [[0.838, 0.880, 0.100], [0.380, 0.338, 0.599], [0.256, 0.657, 0.970], [0.162, 0.120, 0.900], [0.557, 0.945, 0.751], [0.443, 0.055, 0.249], [0.744, 0.343, 0.030], [0.843, 0.245, 0.530], [0.157, 0.755, 0.470], [0.620, 0.662, 0.401], [0.500, 0.000, 0.000], [0.500, 0.000, 0.500], [0.157, 0.342, 0.750], [0.843, 0.658, 0.250]]
}

=====

No. 3
{
  "formula": "Pm5PrZn4",
  "functional": "PBE",
  "state": "relaxed",
  "dft_energy_ev_per_atom": -3.6153,
  "formation_enthalpy_0k_ev_per_atom": -0.25,
  "lattice": [[3.665, 0.000, 0.000], [0.000, 3.665, 0.000], [0.000, 0.000, 19.863]],
  "species": ["Pr", "Zn", "Zn", "Zn", "Zn", "Pm", "Pm", "Pm", "Pm", "Pm"],
  "fractional_positions": [[0.000, 0.000, 0.000], [0.000, 0.000, 0.592], [0.000, 0.000, 0.776], [0.000, 0.000, 0.408], [0.000, 0.000, 0.224], [0.500, 0.500, 0.500], [0.500, 0.500, 0.134], [0.500, 0.500, 0.683], [0.500, 0.500, 0.317], [0.500, 0.500, 0.866]]
}

=====

No. 4
{
  "formula": "LiEuCdPd",
  "functional": "PBE",
  "state": "relaxed",
  "dft_energy_ev_per_atom": -4.9647,
  "formation_enthalpy_0k_ev_per_atom": -0.39,
  "lattice": [[4.948, 0.000, 0.000], [2.474, 4.285, 0.000], [2.474, 1.428, 4.040]],
  "species": ["Li", "Eu", "Pd", "Cd"],
  "fractional_positions": [[0.500, 0.500, 0.500], [0.250, 0.250, 0.250], [0.000, 0.000, 0.000], [0.750, 0.750, 0.750]]
}

=====

No. 5
{
  "formula": "LaBeTc2Pb",
  "functional": "PBE",
  "state": "relaxed",
  "dft_energy_ev_per_atom": -4.5927,
  "formation_enthalpy_0k_ev_per_atom": 2.03,
  "lattice": [[-0.870, -2.526, -4.358], [5.189, 1.456, -1.879], [1.943, -4.248, 2.075]],
  "species": ["Tc", "Tc", "La", "Be", "Pb"],
  "fractional_positions": [[0.500, 0.000, 0.000], [0.000, 0.000, 0.500], [0.000, 0.500, 0.000], [0.500, 0.500, 0.500], [0.000, 0.000, 0.000]]
}

=====

No. 6
{
  "formula": "Ce2SmGd",
  "functional": "PBE",
  "state": "relaxed",
  "dft_energy_ev_per_atom": -7.5571,
  "e_above_lowest_polymorph_kj_per_mol_fu": 0,
  "formation_enthalpy_0k_ev_per_atom": 0.11,
  "lattice": [[-1.999, -1.714, -4.337], [-0.584, -4.457, 2.030], [-4.496, 1.299, 1.559]],
  "species": ["Ce", "Ce", "Sm", "Gd"],
  "fractional_positions": [[0.000, 0.500, 0.000], [0.000, 0.000, 0.500], [0.500, 0.000, 0.000], [0.500, 0.500, 0.500]]
}

=====

No. 7
{
  "formula": "YCoTcMo2",
  "functional": "PBE",
  "state": "relaxed",
  "dft_energy_ev_per_atom": -8.1770,
  "formation_enthalpy_0k_ev_per_atom": 0.94,
  "lattice": [[-0.382, -1.376, 4.491], [-2.711, -3.460, -1.291], [3.779, -2.765, -0.525]],
  "species": ["Co", "Mo", "Mo", "Tc", "Y"],
  "fractional_positions": [[0.000, 0.500, 0.000], [0.500, 0.000, 0.000], [0.000, 0.000, 0.500], [0.000, 0.000, 0.000], [0.500, 0.500, 0.500]]
}

=====

No. 8
{
  "formula": "Nd4TeBr5",
  "functional": "PBE",
  "state": "relaxed",
  "e_form_raw_ev_per_atom": -1.50,
  "dft_energy_ev_per_atom": -4.5548,
  "lattice": [[4.034, 0.000, 0.000], [0.000, 9.194, 0.574], [-2.017, -1.858, 8.867]],
  "species": ["Te", "Nd", "Nd", "Nd", "Nd", "Br", "Br", "Br", "Br", "Br"],
  "fractional_positions": [[0.500, 0.000, 0.000], [0.327, 0.935, 0.654], [0.996, 0.755, 0.993], [0.004, 0.245, 0.007], [0.673, 0.065, 0.346], [0.835, 0.197, 0.670], [0.831, 0.683, 0.663], [0.165, 0.803, 0.330], [0.169, 0.317, 0.337], [0.500, 0.500, 0.000]]
}